Entry 1:
## InPd3Pb (PBE)

Data for a relaxed InPd3Pb crystal.

- offset from the most stable computed form (meV per atom) = 695
- crystal system = cubic
- calculated total energy (eV for the cell shown) = -20.3
- energy of formation (eV/atom) = 0.35

The structure in CIF format:
```
data_InPd3Pb
_cell_length_a 4.9778
_cell_length_b 4.9778
_cell_length_c 4.9778
_cell_angle_alpha 90.00
_cell_angle_beta 90.00
_cell_angle_gamma 90.00
_space_group_name_H-M_alt 'P m -3 m'
_space_group_IT_number 221
_space_group_name_Hall '-P 4 2 3'
loop_
_atom_site_label
_atom_site_fract_x
_atom_site_fract_y
_atom_site_fract_z
In1 0.0000 0.0000 0.0000
Pd1 0.0000 0.0000 0.5000
Pb1 0.5000 0.5000 0.5000
```


Entry 2:
## In2Pd3Pb (PBE)

Data for a relaxed In2Pd3Pb crystal.

- crystal system = tetragonal
- calculated total energy (eV for the cell shown) = -27.1
- energy of formation (eV/atom) = -0.39

The structure in CIF format:
```
data_In2Pd3Pb
_cell_length_a 3.3553
_cell_length_b 3.3553
_cell_length_c 10.1976
_cell_angle_alpha 90.00
_cell_angle_beta 90.00
_cell_angle_gamma 90.00
_space_group_name_H-M_alt 'P 4/m m m'
_space_group_IT_number 123
_space_group_name_Hall '-P 4 2'
loop_
_atom_site_label
_atom_site_fract_x
_atom_site_fract_y
_atom_site_fract_z
In1 0.0000 0.0000 0.1588
Pd1 0.5000 0.5000 0.0000
Pd2 0.5000 0.5000 0.3056
Pb1 0.0000 0.0000 0.5000
```


Entry 3:
## InPd2Pb (PBE)

Data for a relaxed InPd2Pb crystal.

- crystal system = orthorhombic
- calculated total energy (eV for the cell shown) = -144.6
- energy of formation (eV/atom) = -0.31

The structure in CIF format:
```
data_InPd2Pb
_cell_length_a 5.4198
_cell_length_b 20.9871
_cell_length_c 5.6557
_cell_angle_alpha 90.00
_cell_angle_beta 90.00
_cell_angle_gamma 90.00
_space_group_name_H-M_alt 'P b c a'
_space_group_IT_number 61
_space_group_name_Hall '-P 2ac 2ab'
loop_
_atom_site_label
_atom_site_fract_x
_atom_site_fract_y
_atom_site_fract_z
In1 0.1123 0.0574 0.1152
Pd1 0.0949 0.6632 0.1090
Pd2 0.1196 0.0548 0.6255
Pb1 0.1095 0.6926 0.5892
```


Entry 4:
## In2PdPb (PBE)

Data for a relaxed In2PdPb crystal.

- crystal system = trigonal
- calculated total energy (eV for the cell shown) = -45.1
- energy of formation (eV/atom) = -0.17

The structure in CIF format:
```
data_In2PdPb
_cell_length_a 4.6167
_cell_length_b 4.6167
_cell_length_c 16.6104
_cell_angle_alpha 90.00
_cell_angle_beta 90.00
_cell_angle_gamma 120.00
_space_group_name_H-M_alt 'R 3 m'
_space_group_IT_number 160
_space_group_name_Hall 'R 3 -2"'
loop_
_atom_site_label
_atom_site_fract_x
_atom_site_fract_y
_atom_site_fract_z
In1 0.0000 0.0000 0.0000
In2 0.0000 0.0000 0.2247
Pd1 0.0000 0.0000 0.6079
Pb1 0.0000 0.0000 0.7838
```